*a*
Density functional theory data (PBE) for crystalline KTlSe3 at its relaxed geometry.

a b c (Å): 5.976 5.976 5.976
angles (deg): 90.00 90.00 90.00
Fractional positions:
K  0.000  0.000  0.000
Tl  0.500  0.500  0.500
Se  0.000  0.000  0.500
Se  0.000  0.500  0.000
Se  0.500  0.000  0.000

Properties
The total moment is 0.80 μB/atom. As for the space group: Pm-3m (221).

---

*b*
Density functional theory data (PBE) for crystalline KTlSe3 at its relaxed geometry.

a b c (Å): 6.311 6.384 9.198
angles (deg): 80.52 74.61 70.47
Fractional positions:
K  0.000  0.000  0.000
K  0.023  0.956  0.517
Tl  0.473  0.341  0.800
Tl  0.682  0.575  0.408
Se  0.091  0.414  0.629
Se  0.110  0.433  0.122
Se  0.481  0.362  0.178
Se  0.484  0.858  0.727
Se  0.504  0.120  0.412
Se  0.814  0.650  0.829

Properties
The total moment is 0.00 μB/atom. As for the space group: P1 (1).

---

*c*
Density functional theory data (PBE) for crystalline KTlSe3 at its relaxed geometry.

a b c (Å): 5.508 5.508 5.508
angles (deg): 90.00 90.00 90.00
Fractional positions:
K  0.000  0.000  0.000
Tl  0.500  0.500  0.500
Se  0.000  0.500  0.500
Se  0.500  0.000  0.500
Se  0.500  0.500  0.000

Properties
The total moment is 0.00 μB/atom. As for the space group: Pm-3m (221).

---

It is *b* that is most stable; the runner-up trails by 41.7 kJ/mol of atoms.